YReW2O8 after structural relaxation, computed with PBE+U.

Summary:
electronic total energy	-96.291	eV per cell
energy relative to the lowest polymorph listed for this composition	0.1327	eV per atom
magnetization	6.00	μB per formula unit
theoretical density	8.06	g/cm³

Cell and atoms, written as POSCAR:
```
YReW2O8
1.0
-2.698 -4.206 -1.513
3.777 -3.765 2.136
-3.095 3.271 4.344
Y Re O W
1 1 8 2
direct
0.000 0.500 0.500
0.500 0.000 0.500
0.795 0.525 0.771
0.733 0.775 0.301
0.836 0.007 0.794
0.657 0.198 0.182
0.267 0.225 0.699
0.205 0.475 0.229
0.164 0.993 0.206
0.343 0.802 0.818
0.764 0.833 0.015
0.236 0.167 0.985
```